Arrangement w

Entry from Alexandria: ErScCd4 after structural relaxation (PBE).

Properties
Spin magnetization = 0.0 μB/cell
D(E_F) = 4.7 states/eV/f.u.
Space-group type = Pmmm, No. 47

Cell lengths 3.310, 4.917, 8.512 Å; angles 90.00, 90.00, 90.00 degrees
Positions (direct):
1 Er 0.000 0.000 0.000
2 Sc 0.000 0.500 0.500
3 Cd 0.500 0.000 0.337
4 Cd 0.500 0.000 0.663
5 Cd 0.500 0.500 0.171
6 Cd 0.500 0.500 0.829



Arrangement x

Entry from Alexandria: ErScCd4 after structural relaxation (PBE).

Properties
Spin magnetization = 0.5 μB/cell
D(E_F) = 4.6 states/eV/f.u.
Space-group type = C2/m, No. 12

Cell lengths 6.583, 6.583, 6.663 Å; angles 104.56, 104.56, 29.66 degrees
Positions (direct):
1 Er 0.000 0.000 0.000
2 Sc 0.000 0.000 0.500
3 Cd 0.328 0.328 0.172
4 Cd 0.332 0.332 0.658
5 Cd 0.668 0.668 0.342
6 Cd 0.672 0.672 0.828



Arrangement y

Entry from Alexandria: ErScCd4 after structural relaxation (PBE).

Properties
Spin magnetization = 0.0 μB/cell
D(E_F) = 6.0 states/eV/f.u.
Space-group type = F-43m, No. 216

Cell lengths 5.809, 5.809, 5.809 Å; angles 60.00, 60.00, 60.00 degrees
Positions (direct):
1 Er 0.000 0.000 0.000
2 Sc 0.250 0.250 0.250
3 Cd 0.125 0.625 0.625
4 Cd 0.625 0.125 0.625
5 Cd 0.625 0.625 0.125
6 Cd 0.625 0.625 0.625



Quick one: least stable of them? arrangement y



Arrangement w

Entry from Alexandria: Er2Sc2Cd after structural relaxation (PBE).

Properties
Spin magnetization = 0.1 μB/cell
D(E_F) = 10.4 states/eV/f.u.
Space-group type = I4_1/amd, No. 141

Cell lengths 12.562, 12.562, 12.562 Å; angles 157.69, 157.69, 31.76 degrees
Positions (direct):
1 Er 0.048 0.298 0.750
2 Er 0.298 0.048 0.250
3 Er 0.702 0.952 0.750
4 Er 0.952 0.702 0.250
5 Sc 0.201 0.451 0.750
6 Sc 0.451 0.201 0.250
7 Sc 0.549 0.799 0.750
8 Sc 0.799 0.549 0.250
9 Cd 0.125 0.875 0.250
10 Cd 0.875 0.125 0.750



Arrangement x

Entry from Alexandria: Er2Sc2Cd after structural relaxation (PBE).

Properties
Spin magnetization = 0.0 μB/cell
D(E_F) = 6.7 states/eV/f.u.
Space-group type = C2/c, No. 15

Cell lengths 7.836, 7.836, 6.351 Å; angles 103.66, 103.66, 43.53 degrees
Positions (direct):
1 Er 0.012 0.194 0.460
2 Er 0.194 0.012 0.960
3 Er 0.806 0.988 0.040
4 Er 0.988 0.806 0.540
5 Sc 0.217 0.388 0.856
6 Sc 0.388 0.217 0.356
7 Sc 0.612 0.783 0.644
8 Sc 0.783 0.612 0.144
9 Cd 0.418 0.582 0.250
10 Cd 0.582 0.418 0.750



Quick one: least stable of them? arrangement w



Arrangement w

Entry from Alexandria: ErTmScCd after structural relaxation (PBE).

Properties
Spin magnetization = 0.0 μB/cell
D(E_F) = 5.3 states/eV/f.u.
Space-group type = P4mm, No. 99

Cell lengths 3.508, 3.508, 8.641 Å; angles 90.00, 90.00, 90.00 degrees
Positions (direct):
1 Er 0.000 0.000 0.000
2 Tm 0.000 0.000 0.516
3 Sc 0.500 0.500 0.259
4 Cd 0.500 0.500 0.757



Arrangement x

Entry from Alexandria: ErTmScCd after structural relaxation (PBE).

Properties
Spin magnetization = 0.1 μB/cell
D(E_F) = 5.2 states/eV/f.u.
Space-group type = F-43m, No. 216

Cell lengths 5.292, 5.292, 5.292 Å; angles 60.00, 60.00, 60.00 degrees
Positions (direct):
1 Er 0.000 0.000 0.000
2 Tm 0.500 0.500 0.500
3 Sc 0.250 0.250 0.250
4 Cd 0.750 0.750 0.750



Quick one: least stable of them? arrangement x



Arrangement w

Entry from Alexandria: ErZrScCd after structural relaxation (PBE).

Properties
Spin magnetization = 0.0 μB/cell
D(E_F) = 5.2 states/eV/f.u.
Space-group type = Amm2, No. 38

Cell lengths 3.248, 9.583, 9.583 Å; angles 19.46, 90.00, 90.00 degrees
Positions (direct):
1 Er 0.000 0.000 0.000
2 Zr 0.500 0.151 0.151
3 Sc 0.000 0.764 0.764
4 Cd 0.500 0.378 0.378



Arrangement x

Entry from Alexandria: ErZrScCd after structural relaxation (PBE).

Properties
Spin magnetization = 2.3 μB/cell
D(E_F) = 5.1 states/eV/f.u.
Space-group type = F-43m, No. 216

Cell lengths 5.167, 5.167, 5.167 Å; angles 60.00, 60.00, 60.00 degrees
Positions (direct):
1 Er 0.000 0.000 0.000
2 Zr 0.250 0.250 0.250
3 Sc 0.500 0.500 0.500
4 Cd 0.750 0.750 0.750



Quick one: least stable of them? arrangement x



Arrangement w

Entry from Alexandria: Sm2Er3Cd3 after structural relaxation (PBE).

Properties
Spin magnetization = 0.0 μB/cell
D(E_F) = 7.7 states/eV/f.u.
Space-group type = Immm, No. 71

Cell lengths 11.605, 11.605, 11.605 Å; angles 161.40, 153.59, 32.50 degrees
Positions (direct):
1 Sm 0.232 0.232 0.000
2 Sm 0.768 0.768 0.000
3 Er 0.000 0.000 0.000
4 Er 0.379 0.879 0.500
5 Er 0.621 0.121 0.500
6 Cd 0.114 0.614 0.500
7 Cd 0.500 0.500 0.000
8 Cd 0.886 0.386 0.500



Arrangement x

Entry from Alexandria: Sm2Er3Cd3 after structural relaxation (PBE).

Properties
Spin magnetization = 0.0 μB/cell
D(E_F) = 9.8 states/eV/f.u.
Space-group type = Pmmm, No. 47

Cell lengths 4.891, 4.896, 9.211 Å; angles 90.00, 90.00, 90.00 degrees
Positions (direct):
1 Sm 0.000 0.000 0.243
2 Sm 0.000 0.000 0.757
3 Er 0.000 0.500 0.500
4 Er 0.500 0.500 0.230
5 Er 0.500 0.500 0.770
6 Cd 0.000 0.500 0.000
7 Cd 0.500 0.000 0.000
8 Cd 0.500 0.000 0.500



Quick one: least stable of them? arrangement x



Arrangement w

Entry from Alexandria: SmEr2Cd2 after structural relaxation (PBE).

Properties
Spin magnetization = 0.0 μB/cell
D(E_F) = 3.6 states/eV/f.u.
Space-group type = I4/mmm, No. 139

Cell lengths 12.836, 12.836, 12.836 Å; angles 157.98, 157.98, 31.34 degrees
Positions (direct):
1 Sm 0.125 0.125 0.000
2 Sm 0.875 0.875 0.000
3 Er 0.000 0.500 0.500
4 Er 0.318 0.318 0.000
5 Er 0.500 0.000 0.500
6 Er 0.682 0.682 0.000
7 Cd 0.250 0.750 0.500
8 Cd 0.430 0.430 0.000
9 Cd 0.570 0.570 0.000
10 Cd 0.750 0.250 0.500



Arrangement x

Entry from Alexandria: SmEr2Cd2 after structural relaxation (PBE).

Properties
Spin magnetization = 0.0 μB/cell
D(E_F) = 5.0 states/eV/f.u.
Space-group type = P2_1/m, No. 11

Cell lengths 3.711, 5.374, 13.884 Å; angles 90.00, 97.68, 90.00 degrees
Positions (direct):
1 Sm 0.150 0.250 0.297
2 Sm 0.850 0.750 0.703
3 Er 0.047 0.750 0.092
4 Er 0.236 0.750 0.473
5 Er 0.764 0.250 0.527
6 Er 0.953 0.250 0.908
7 Cd 0.358 0.250 0.717
8 Cd 0.451 0.750 0.903
9 Cd 0.549 0.250 0.097
10 Cd 0.642 0.750 0.283



Quick one: least stable of them? arrangement w